Compound: Na2PmMoO6
Source: Alexandria via LeMat-Bulk
Functional: PBE with a Hubbard U
Structure: relaxed

Output
DFT total energy = -6.382 eV/atom

Lattice parameters (Å, degrees): 5.7353 5.9179 10.0136 90.00 124.81 90.00
Space group P2_1/c (No. 14)
Inequivalent atoms, fractional coordinates:
Na  0.2441  0.0389  0.2546 [4 per cell]
Pm  0.5000  0.0000  0.0000 [2 per cell]
Mo  0.0000  0.0000  0.5000 [2 per cell]
O  0.1181  0.2294  0.9423 [4 per cell]
O  0.2280  0.6816  0.9547 [4 per cell]
O  0.3228  0.0374  0.7249 [4 per cell]